[1]
The following is a DFT calculation (GGA-PBE) of a relaxed structure of BaHf2F. Values from VASP.

```
&SYSTEM
  ibrav = 0, nat = 4, ntyp = 3
/
ATOMIC_SPECIES
Ba 137.33 Ba.upf
Hf 178.49 Hf.upf
F 19.00 F.upf
CELL_PARAMETERS angstrom
0.000 3.580 3.580
3.580 0.000 3.580
3.580 3.580 0.000
ATOMIC_POSITIONS angstrom
Ba 0.000 0.000 0.000
Hf 1.790 1.790 1.790
Hf 5.370 5.370 5.370
F 3.580 3.580 3.580
```

Computed properties:
N(E_F) = 5.6 states/eV/cell
energy relative to the lowest polymorph listed for this composition = 891 meV per atom
spin magnetization = 1.05 μB/f.u.
formation energy from raw total energies = 674.5 meV per atom
total energy = -5.251 eV/atom
theoretical density = 9.29 g cm⁻³
V = 22.947 A^3/atom


[2]
The following is a DFT calculation (GGA-PBE) of a relaxed structure of CdReH2. Values from VASP.

```
&SYSTEM
  ibrav = 0, nat = 8, ntyp = 3
/
ATOMIC_SPECIES
Cd 112.41 Cd.upf
Re 186.21 Re.upf
H 1.01 H.upf
CELL_PARAMETERS angstrom
-2.268 2.268 4.236
2.268 -2.268 4.236
2.268 2.268 -4.236
ATOMIC_POSITIONS angstrom
Cd 0.000 0.000 0.000
Cd 0.000 2.268 2.118
Re 2.268 0.000 2.118
Re 0.000 0.000 4.236
H 1.134 -0.839 3.177
H 1.428 1.134 1.059
H 1.134 3.107 -1.059
H 0.839 1.134 5.295
```

Computed properties:
N(E_F) = 4.6 states/eV/cell
energy relative to the lowest polymorph listed for this composition = 0 meV per atom
spin magnetization = 0.00 μB/f.u.
total energy = -4.401 eV/atom
theoretical density = 11.46 g cm⁻³
V = 10.890 A^3/atom


[3]
The following is a DFT calculation (GGA-PBE) of a relaxed structure of Ti3Bi. Values from VASP.

```
&SYSTEM
  ibrav = 0, nat = 8, ntyp = 2
/
ATOMIC_SPECIES
Ti 47.87 Ti.upf
Bi 208.98 Bi.upf
CELL_PARAMETERS angstrom
5.999 0.000 0.000
-3.000 5.196 0.000
0.000 0.000 4.824
ATOMIC_POSITIONS angstrom
Ti 0.000 1.642 1.206
Ti -1.578 4.375 1.206
Ti 1.422 0.821 3.618
Ti 1.578 4.375 1.206
Ti 4.577 0.821 3.618
Ti 3.000 3.554 3.618
Bi 0.000 3.464 3.618
Bi 3.000 1.732 1.206
```

Computed properties:
N(E_F) = 12.3 states/eV/cell
energy of formation from the pure elements = -0.4 eV per formula unit
spin magnetization = 0.64 μB/f.u.
total energy = -6.980 eV/atom
theoretical density = 7.79 g cm⁻³
V = 18.795 A^3/atom


[4]
The following is a DFT calculation (GGA-PBE) of a relaxed structure of CdCu2Pt6. Values from VASP.

```
&SYSTEM
  ibrav = 0, nat = 9, ntyp = 3
/
ATOMIC_SPECIES
Cd 112.41 Cd.upf
Cu 63.55 Cu.upf
Pt 195.08 Pt.upf
CELL_PARAMETERS angstrom
2.674 1.544 7.007
-2.674 1.544 7.007
0.000 -3.088 7.007
ATOMIC_POSITIONS angstrom
Cd 0.000 0.000 0.000
Cu 0.000 0.000 4.712
Cu 0.000 0.000 9.307
Pt -1.313 -0.758 11.701
Pt -1.341 -0.774 16.347
Pt 1.313 -0.758 11.701
Pt 0.000 1.516 11.701
Pt 1.341 -0.774 16.347
Pt 0.000 1.548 16.347
```

Computed properties:
N(E_F) = 8.4 states/eV/cell
energy relative to the lowest polymorph listed for this composition = 272 meV per atom
energy of formation from the pure elements = 1.1 eV per formula unit
spin magnetization = 0.00 μB/f.u.
total energy = -4.915 eV/atom
theoretical density = 13.49 g cm⁻³
V = 19.284 A^3/atom


[5]
The following is a DFT calculation (GGA-PBE) of a relaxed structure of YTc2Rh. Values from VASP.

```
&SYSTEM
  ibrav = 0, nat = 4, ntyp = 3
/
ATOMIC_SPECIES
Y 88.91 Y.upf
Tc 98.00 Tc.upf
Rh 102.91 Rh.upf
CELL_PARAMETERS angstrom
0.000 3.237 3.237
3.237 0.000 3.237
3.237 3.237 0.000
ATOMIC_POSITIONS angstrom
Y 0.000 0.000 0.000
Tc 1.619 1.619 1.619
Tc 4.856 4.856 4.856
Rh 3.237 3.237 3.237
```

Computed properties:
N(E_F) = 5.2 states/eV/cell
energy relative to the lowest polymorph listed for this composition = 399 meV per atom
energy of formation from the pure elements = 1.4 eV per formula unit
spin magnetization = 1.70 μB/f.u.
total energy = -8.275 eV/atom
theoretical density = 9.49 g cm⁻³
V = 16.959 A^3/atom


[6]
The following is a DFT calculation (GGA-PBE) of a relaxed structure of Be3CrGe. Values from VASP.

```
&SYSTEM
  ibrav = 0, nat = 5, ntyp = 3
/
ATOMIC_SPECIES
Be 9.01 Be.upf
Cr 52.00 Cr.upf
Ge 72.64 Ge.upf
CELL_PARAMETERS angstrom
4.186 0.000 0.000
0.000 4.186 0.000
0.000 0.000 4.186
ATOMIC_POSITIONS angstrom
Be 0.000 0.000 2.093
Be 0.000 2.093 0.000
Be 2.093 0.000 0.000
Cr 0.000 0.000 0.000
Ge 2.093 2.093 2.093
```

Computed properties:
N(E_F) = 4.1 states/eV/cell
energy relative to the lowest polymorph listed for this composition = 0 meV per atom
energy of formation from the pure elements = 6.4 eV per formula unit
spin magnetization = 1.69 μB/f.u.
total energy = -3.799 eV/atom
theoretical density = 3.43 g cm⁻³
V = 14.669 A^3/atom


[7]
The following is a DFT calculation (GGA-PBE) of a relaxed structure of BaEuZnGe. Values from VASP.

```
&SYSTEM
  ibrav = 0, nat = 4, ntyp = 4
/
ATOMIC_SPECIES
Ba 137.33 Ba.upf
Eu 151.96 Eu.upf
Zn 65.41 Zn.upf
Ge 72.64 Ge.upf
CELL_PARAMETERS angstrom
0.000 3.918 3.918
3.918 0.000 3.918
3.918 3.918 0.000
ATOMIC_POSITIONS angstrom
Ba 0.000 0.000 0.000
Eu 3.918 3.918 3.918
Zn 5.878 5.878 5.878
Ge 1.959 1.959 1.959
```

Computed properties:
N(E_F) = 10.0 states/eV/cell
energy of formation from the pure elements = -1.5 eV per formula unit
spin magnetization = 7.08 μB/f.u.
total energy = -4.905 eV/atom
theoretical density = 5.90 g cm⁻³
V = 30.081 A^3/atom


[8]
The following is a DFT calculation (GGA-PBE) of a relaxed structure of InSiOs2. Values from VASP.

```
&SYSTEM
  ibrav = 0, nat = 4, ntyp = 3
/
ATOMIC_SPECIES
In 114.82 In.upf
Si 28.09 Si.upf
Os 190.23 Os.upf
CELL_PARAMETERS angstrom
1.471 -2.508 0.000
1.471 2.508 0.000
0.000 0.000 8.588
ATOMIC_POSITIONS angstrom
In 0.000 0.000 0.000
Si 0.000 0.000 4.294
Os 1.471 0.000 2.435
Os 1.471 0.000 6.153
```

Computed properties:
N(E_F) = 2.7 states/eV/cell
energy relative to the lowest polymorph listed for this composition = 239 meV per atom
spin magnetization = 0.00 μB/f.u.
formation energy from raw total energies = 327.5 meV per atom
total energy = -7.328 eV/atom
theoretical density = 13.71 g cm⁻³
V = 15.843 A^3/atom


[9]
The following is a DFT calculation (GGA-PBE) of a relaxed structure of AgHgPbF6. Values from VASP.

```
&SYSTEM
  ibrav = 0, nat = 18, ntyp = 4
/
ATOMIC_SPECIES
Ag 107.87 Ag.upf
Hg 200.59 Hg.upf
Pb 207.20 Pb.upf
F 19.00 F.upf
CELL_PARAMETERS angstrom
6.149 0.000 0.000
-3.074 5.325 0.000
0.000 0.000 9.455
ATOMIC_POSITIONS angstrom
Ag 0.000 0.000 0.000
Ag 0.000 0.000 4.728
Hg 0.000 3.550 2.364
Hg 3.074 1.775 7.091
Pb 0.000 3.550 7.091
Pb 3.074 1.775 2.364
F -1.002 1.790 5.938
F -2.026 3.562 8.245
F 1.002 1.790 8.245
F -1.023 5.298 5.938
F 2.051 0.027 1.210
F 1.049 1.763 3.517
F 2.026 3.562 5.938
F 1.023 5.298 8.245
F 4.098 0.027 3.517
F 2.072 3.535 1.210
F 5.100 1.763 1.210
F 4.077 3.535 3.517
```

Computed properties:
N(E_F) = 5.4 states/eV/cell
spin magnetization = 0.00 μB/f.u.
formation energy from raw total energies = -1605.3 meV per atom
total energy = -3.615 eV/atom
theoretical density = 6.75 g cm⁻³
V = 17.199 A^3/atom


[10]
The following is a DFT calculation (GGA-PBE) of a relaxed structure of Hf2RuSe2. Values from VASP.

```
&SYSTEM
  ibrav = 0, nat = 5, ntyp = 3
/
ATOMIC_SPECIES
Hf 178.49 Hf.upf
Ru 101.07 Ru.upf
Se 78.96 Se.upf
CELL_PARAMETERS angstrom
-1.837 1.837 7.277
1.837 -1.837 7.277
1.837 1.837 -7.277
ATOMIC_POSITIONS angstrom
Hf 0.000 0.000 1.502
Hf 0.000 0.000 13.052
Ru 0.000 0.000 7.277
Se 1.837 0.000 3.638
Se 0.000 1.837 3.638
```

Computed properties:
N(E_F) = 2.1 states/eV/cell
energy relative to the lowest polymorph listed for this composition = 375 meV per atom
spin magnetization = 0.62 μB/f.u.
formation energy from raw total energies = -113.9 meV per atom
total energy = -7.344 eV/atom
theoretical density = 10.41 g cm⁻³
V = 19.652 A^3/atom


[11]
The following is a DFT calculation (GGA-PBE) of a relaxed structure of Pm3Pr3Nd2. Values from VASP.

```
&SYSTEM
  ibrav = 0, nat = 16, ntyp = 3
/
ATOMIC_SPECIES
Pm 145.00 Pm.upf
Pr 140.91 Pr.upf
Nd 144.24 Nd.upf
CELL_PARAMETERS angstrom
5.976 0.000 0.000
0.000 14.843 0.000
0.000 0.000 6.422
ATOMIC_POSITIONS angstrom
Pm 1.494 1.868 1.071
Pm 1.494 5.554 1.071
Pm 1.494 11.133 4.275
Pm 4.482 3.711 2.147
Pm 4.482 9.289 5.351
Pm 4.482 12.976 5.351
Pr 1.494 14.838 4.281
Pr 1.494 3.711 4.272
Pr 1.494 7.427 4.281
Pr 4.482 0.005 2.141
Pr 4.482 7.416 2.141
Pr 4.482 11.133 2.149
Nd 1.494 9.279 1.055
Nd 1.494 12.986 1.055
Nd 4.482 1.857 5.367
Nd 4.482 5.564 5.367
```

Computed properties:
N(E_F) = 28.2 states/eV/cell
energy relative to the lowest polymorph listed for this composition = 0 meV per atom
energy of formation from the pure elements = 0.3 eV per formula unit
spin magnetization = 0.00 μB/f.u.
total energy = -4.732 eV/atom
theoretical density = 6.68 g cm⁻³
V = 35.602 A^3/atom


[12]
The following is a DFT calculation (GGA-PBE) of a relaxed structure of ZrInSi2. Values from VASP.

```
&SYSTEM
  ibrav = 0, nat = 4, ntyp = 3
/
ATOMIC_SPECIES
Zr 91.22 Zr.upf
In 114.82 In.upf
Si 28.09 Si.upf
CELL_PARAMETERS angstrom
0.000 3.393 3.393
3.393 0.000 3.393
3.393 3.393 0.000
ATOMIC_POSITIONS angstrom
Zr 0.000 0.000 0.000
In 1.696 1.696 1.696
Si 3.393 3.393 3.393
Si 5.089 5.089 5.089
```

Computed properties:
N(E_F) = 2.9 states/eV/cell
spin magnetization = 0.00 μB/f.u.
formation energy from raw total energies = 385.9 meV per atom
total energy = -5.147 eV/atom
theoretical density = 5.58 g cm⁻³
V = 19.524 A^3/atom